# GGA-PBE CaLaAs2Br, optimized geometry
# Magnetic moment (μB/f.u.): 0.00
# Offset from the most stable computed form (eV/atom): 0.000
# Energy relative to the elements, uncorrected (eV per atom): -0.584
# DFT total energy (eV per atom): -4.16
data_CaLaAs2Br
_chemical_formula_sum 'Ca1 La1 As2 Br1'
_symmetry_space_group_name_H-M 'P 4/m m m'
_symmetry_Int_Tables_number 123
_symmetry_space_group_name_Hall '-P 4 2'
_cell_length_a 5.313
_cell_length_b 5.313
_cell_length_c 5.335
_cell_angle_alpha 90.00
_cell_angle_beta 90.00
_cell_angle_gamma 90.00
loop_
_atom_site_label
_atom_site_type_symbol
_atom_site_fract_x
_atom_site_fract_y
_atom_site_fract_z
_atom_site_occupancy
Ca1 Ca 0.000 0.000 0.000 1
La1 La 0.500 0.500 0.500 1
As1 As 0.000 0.500 0.000 1
Br1 Br 0.000 0.000 0.500 1

=====

# GGA-PBE Li7Pd2Au2, optimized geometry
# Magnetic moment (μB/f.u.): 0.00
# DFT total energy (eV per atom): -2.99
# Calculated formation energy (eV per atom): -0.23
data_Li7Pd2Au2
_chemical_formula_sum 'Li14 Pd4 Au4'
_symmetry_space_group_name_H-M 'C m m m'
_symmetry_Int_Tables_number 65
_symmetry_space_group_name_Hall '-C 2 2'
_cell_length_a 7.300
_cell_length_b 8.203
_cell_length_c 6.668
_cell_angle_alpha 90.00
_cell_angle_beta 90.00
_cell_angle_gamma 90.00
loop_
_atom_site_label
_atom_site_type_symbol
_atom_site_fract_x
_atom_site_fract_y
_atom_site_fract_z
_atom_site_occupancy
Li1 Li 0.000 0.000 0.000 1
Li2 Li 0.000 0.500 0.313 1
Li3 Li 0.250 0.250 0.252 1
Pd1 Pd 0.000 0.332 0.000 1
Au1 Au 0.187 0.000 0.500 1

=====

# GGA-PBE ReSbOs, optimized geometry
# Magnetic moment (μB/f.u.): 0.00
# Offset from the most stable computed form (eV/atom): 0.475
# Energy relative to the elements, uncorrected (eV per atom): 0.930
# DFT total energy (eV per atom): -8.34
data_ReSbOs
_chemical_formula_sum 'Re4 Sb4 Os4'
_symmetry_space_group_name_H-M 'F m m 2'
_symmetry_Int_Tables_number 42
_symmetry_space_group_name_Hall 'F 2 -2'
_cell_length_a 2.932
_cell_length_b 4.981
_cell_length_c 14.791
_cell_angle_alpha 90.00
_cell_angle_beta 90.00
_cell_angle_gamma 90.00
loop_
_atom_site_label
_atom_site_type_symbol
_atom_site_fract_x
_atom_site_fract_y
_atom_site_fract_z
_atom_site_occupancy
Re1 Re 0.000 0.000 0.000 1
Sb1 Sb 0.000 0.000 0.317 1
Os1 Os 0.000 0.000 0.640 1